# 1
The following is a DFT calculation (PBE) of a relaxed structure of Pu2PdPb.

abc: 3.965 3.965 6.194
angles: 90.00 90.00 90.00
Element x y z (fractional)
Pu (0.000, 0.000, 0.232)
Pu (0.000, 0.000, 0.768)
Pd (0.500, 0.500, 0.000)
Pb (0.500, 0.500, 0.500)

**DFT total energy**: -9.63 eV per atom
**Volume**: 24.3 Å³ per atom
**Formation energy from the elements**: -94 kJ/mol of formula units
**SG**: P4/mmm

---

# 2
The following is a DFT calculation (PBE) of a relaxed structure of Sc2TiC.

abc: 9.327 9.327 9.327
angles: 19.46 19.46 19.46
Element x y z (fractional)
Sc (0.078, 0.078, 0.078)
Sc (0.922, 0.922, 0.922)
Ti (0.500, 0.500, 0.500)
C (0.000, 0.000, 0.000)

**DFT total energy**: -6.44 eV per atom
**Volume**: 19.7 Å³ per atom
**Formation energy from the elements**: 389 kJ/mol of formula units
**SG**: R-3m

---

Among the records above, which one has the highest DFT total energy? Sc2TiC